(1)
The following is a GGA+U calculation of a relaxed structure of Li2VPbF6, from Alexandria.

Results
Total DFT energy (no corrections) in eV per formula unit: -52.681
Fermi-level density of states in states/eV/atom: 0.000

Cell lengths 5.5195, 5.5231, 5.8651 Å; angles 90.10, 118.00, 119.92 degrees
Space group P1 (No. 1)
One atom of each set of equivalent atoms:
Li 0.0000 0.0000 0.0000 [1 per cell]
Li 0.0214 0.5120 0.5330 [1 per cell]
V 0.4241 0.2124 0.6356 [1 per cell]
Pb 0.4601 0.7302 0.1902 [1 per cell]
F 0.1593 0.3606 0.3541 [1 per cell]
F 0.2048 0.2783 0.8334 [1 per cell]
F 0.5538 0.1949 0.3527 [1 per cell]
F 0.5553 0.9272 0.8335 [1 per cell]
F 0.9076 0.6288 0.8327 [1 per cell]
F 0.9939 0.7998 0.3527 [1 per cell]

---

(2)
The following is a GGA+U calculation of a relaxed structure of LiPbWF6, from Alexandria.

Results
Total DFT energy (no corrections) in eV per formula unit: -47.578
Fermi-level density of states in states/eV/atom: 0.000

Cell lengths 5.5256, 5.5256, 10.6216 Å; angles 90.00, 90.00, 120.00 degrees
Space group P-31c (No. 163)
One atom of each set of equivalent atoms:
Li 0.3333 0.6667 0.2500 [2 per cell]
Pb 0.0000 0.0000 0.0000 [2 per cell]
W 0.3333 0.6667 0.7500 [2 per cell]
F 0.0034 0.3590 0.1434 [12 per cell]

---

(3)
The following is a GGA+U calculation of a relaxed structure of Li3Pb2WF12, from Alexandria.

Results
Total DFT energy (no corrections) in eV per formula unit: -89.248
Fermi-level density of states in states/eV/atom: 0.000

Cell lengths 6.1488, 6.1488, 27.1090 Å; angles 90.00, 90.00, 120.00 degrees
Space group R-3m (No. 166, hexagonal axes)
One atom of each set of equivalent atoms:
Li 0.0000 0.5000 0.0000 [9 per cell]
Pb 0.0000 0.0000 0.0798 [6 per cell]
W 0.0000 0.0000 0.5000 [3 per cell]
F 0.0227 0.5113 0.3678 [18 per cell]
F 0.0315 0.5157 0.1266 [18 per cell]